1.
A plane-wave DFT calculation with SCAN was carried out for a PBEsol-optimized structure of LaBiPt3.

Cell: 5.026 5.026 5.026 Å, 90.00 90.00 90.00°
Sites, in units of the cell vectors:
La (0.500, 0.500, 0.500)
Pt (0.000, 0.500, 0.000)
Pt (0.000, 0.000, 0.500)
Bi (0.000, 0.000, 0.000)
Pt (0.500, 0.000, 0.000)

Results
M_tot (μB per formula unit): 0.0
Calculated formation energy (eV per atom): -0.051
Total energy (eV per atom): -66.504

---

2.
A plane-wave DFT calculation with SCAN was carried out for a PBEsol-optimized structure of LaBi2PtRh.

Cell: 5.263 5.298 5.298 Å, 90.00 90.00 90.00°
Sites, in units of the cell vectors:
Rh (0.500, 0.500, 0.500)
Pt (0.000, 0.000, 0.000)
Bi (0.000, 0.500, 0.000)
La (0.500, 0.000, 0.000)
Bi (0.000, 0.000, 0.500)

Results
M_tot (μB per formula unit): 0.0
Calculated formation energy (eV per atom): 0.298
Total energy (eV per atom): -60.548

---

3.
A plane-wave DFT calculation with SCAN was carried out for a PBEsol-optimized structure of LaReBi2.

Cell: 4.500 4.500 11.125 Å, 101.67 101.67 90.00°
Sites, in units of the cell vectors:
La (0.750, 0.250, 0.500)
Re (0.000, 0.000, 0.000)
La (0.500, 0.500, 0.000)
Bi (0.625, 0.656, 0.750)
Bi (0.906, 0.375, 0.250)
Re (0.250, 0.750, 0.500)
Bi (0.125, 0.094, 0.750)
Bi (0.344, 0.875, 0.250)

Results
M_tot (μB per formula unit): 0.0
Calculated formation energy (eV per atom): 0.591
Total energy (eV per atom): -67.250

---

4.
A plane-wave DFT calculation with SCAN was carried out for a PBEsol-optimized structure of LaZnReBi2.

Cell: 4.745 5.250 5.250 Å, 90.00 90.00 90.00°
Sites, in units of the cell vectors:
Bi (0.000, 0.000, 0.500)
Zn (0.000, 0.000, 0.000)
Bi (0.000, 0.500, 0.000)
La (0.500, 0.500, 0.500)
Re (0.500, 0.000, 0.000)

Results
M_tot (μB per formula unit): 2.0
Calculated formation energy (eV per atom): 0.607
Total energy (eV per atom): -56.368

---

5.
A plane-wave DFT calculation with SCAN was carried out for a PBEsol-optimized structure of La3BiRu.

Cell: 5.973 7.474 7.474 Å, 120.00 90.00 90.00°
Sites, in units of the cell vectors:
Bi (0.250, 0.667, 0.333)
Ru (0.500, 0.000, 0.000)
La (0.750, 0.821, 0.642)
La (0.250, 0.642, 0.821)
La (0.750, 0.821, 0.179)
La (0.250, 0.179, 0.358)
La (0.250, 0.179, 0.821)
La (0.750, 0.358, 0.179)
Ru (0.000, 0.000, 0.000)
Bi (0.750, 0.333, 0.667)

Results
M_tot (μB per formula unit): 0.0
Calculated formation energy (eV per atom): -0.697
Polymorph energy (0 for the lowest one) (meV per atom): 0
Total energy (eV per atom): -49.241

---

6.
A plane-wave DFT calculation with SCAN was carried out for a PBEsol-optimized structure of La3BiRu.

Cell: 5.382 5.382 5.382 Å, 90.00 90.00 90.00°
Sites, in units of the cell vectors:
La (0.000, 0.000, 0.500)
Bi (0.500, 0.500, 0.500)
La (0.500, 0.000, 0.000)
Ru (0.000, 0.000, 0.000)
La (0.000, 0.500, 0.000)

Results
M_tot (μB per formula unit): 0.0
Calculated formation energy (eV per atom): -0.652
Polymorph energy (0 for the lowest one) (meV per atom): 45
Total energy (eV per atom): -49.196

---

7.
A plane-wave DFT calculation with SCAN was carried out for a PBEsol-optimized structure of LaTaBiS2.

Cell: 5.168 5.168 6.032 Å, 90.00 90.00 90.00°
Sites, in units of the cell vectors:
S (0.000, 0.500, 0.000)
S (0.500, 0.000, 0.000)
Ta (0.500, 0.500, 0.500)
La (0.000, 0.000, 0.500)
Bi (0.000, 0.000, 0.000)

Results
M_tot (μB per formula unit): 3.8
Energy relative to the elements, uncorrected (eV/atom): 1.232
Total energy (eV per atom): -40.273

---

8.
A plane-wave DFT calculation with SCAN was carried out for a PBEsol-optimized structure of La2ScBi2.

Cell: 4.515 8.234 8.234 Å, 90.00 90.00 90.00°
Sites, in units of the cell vectors:
Bi (0.000, 0.152, 0.348)
Sc (0.000, 0.500, 0.500)
Bi (0.000, 0.848, 0.652)
La (0.500, 0.845, 0.345)
La (0.500, 0.345, 0.155)
Bi (0.000, 0.652, 0.152)
Bi (0.000, 0.348, 0.848)
La (0.500, 0.155, 0.655)
Sc (0.000, 0.000, 0.000)
La (0.500, 0.655, 0.845)

Results
M_tot (μB per formula unit): 0.8
Calculated formation energy (eV per atom): -0.898
Total energy (eV per atom): -52.420